# NaZrIn2

NaZrIn2 after structural relaxation (PBE, Alexandria).

Results
**Formation energy from the elements**: -0.16 eV per atom

a b c (Å): 3.2045 3.2045 9.3719
angles (deg): 90.00 90.00 90.00
Closest atoms and distances in Å follow each position.
Sites, in units of the cell vectors:
Na  0.0000  0.0000  0.0000  4 Na 3.20, 8 In 3.36
Zr  0.0000  0.0000  0.5000  8 In 3.16, 4 Zr 3.20
In  0.5000  0.5000  0.2647  4 Zr 3.16, 4 In 3.20, 4 Na 3.36
In  0.5000  0.5000  0.7353  4 Zr 3.16, 4 In 3.20, 4 Na 3.36

# RbHf2Te2

RbHf2Te2 after structural relaxation (PBE, Alexandria).

Results
**Formation energy without anion corrections**: -0.1398 eV per atom

a b c (Å): 6.4045 6.4045 6.4045
angles (deg): 128.55 128.55 75.73
Closest atoms and distances in Å follow each position.
Sites, in units of the cell vectors:
Rb  0.0000  0.0000  0.0000  2 Hf 3.63, 8 Te 3.76
Hf  0.3594  0.3594  0.0000  1 Hf 2.84, 4 Te 2.99
Hf  0.6406  0.6406  0.0000  1 Hf 2.84, 4 Te 2.99
Te  0.2500  0.7500  0.5000  4 Hf 2.99
Te  0.7500  0.2500  0.5000  4 Hf 2.99

# LaCu4Ni2

LaCu4Ni2 after structural relaxation (PBE, Alexandria).

Results
**Formation energy from the elements**: -0.12 eV per atom

a b c (Å): 5.1584 5.1584 5.1584
angles (deg): 122.48 103.47 103.30
Closest atoms and distances in Å follow each position.
Sites, in units of the cell vectors:
La  0.0000  0.0000  0.0000  12 Cu 2.77-3.04
Cu  0.0002  0.3065  0.6937  4 Cu 2.47-2.68, 4 Ni 2.63, 1 La 2.77
Cu  0.9998  0.6935  0.3063  4 Cu 2.47-2.68, 4 Ni 2.63, 1 La 2.77
Cu  0.3871  0.6935  0.6937  4 Cu 2.47-2.68, 4 Ni 2.63, 1 La 2.77
Cu  0.6129  0.3065  0.3063  4 Cu 2.47-2.68, 4 Ni 2.63, 1 La 2.77
Ni  0.5000  0.2498  0.7498  2 Ni 2.48, 8 Cu 2.63
Ni  0.5000  0.7502  0.2502  2 Ni 2.48, 8 Cu 2.63

Number 1: V 24.1 A^3/atom. Number 2: V 31.3 A^3/atom. Number 3: V 14.5 A^3/atom.